Version one
Material: VCrS
Method: DFT, GGA-PBE
State: relaxed

```
VCrS
1.0
3.3130 0.0000 0.0000
-1.6565 2.8692 0.0000
0.0000 0.0000 4.5078
V Cr S
1 1 1
Direct
0.0000 0.0000 0.0000
0.6667 0.3333 0.4691
0.3333 0.6667 0.7258
```

Values from the calculation:
SG: No. 156
V: 43 Å³/cell

Version two
Material: VCrS
Method: DFT, GGA-PBE
State: relaxed

```
VCrS
1.0
7.0540 -1.6739 0.0000
7.0540 1.6739 0.0000
-1.6222 0.0000 6.9549
V Cr S
4 4 4
Direct
0.0939 0.0939 0.4971
0.1005 0.1005 0.1011
0.8995 0.8995 0.8989
0.9061 0.9061 0.5029
0.2294 0.2294 0.8745
0.2640 0.2640 0.3638
0.7360 0.7360 0.6362
0.7706 0.7706 0.1255
0.0489 0.0489 0.7787
0.3533 0.3533 0.6820
0.6467 0.6467 0.3180
0.9511 0.9511 0.2213
```

Values from the calculation:
SG: No. 12
V: 164 Å³/cell

Name the most stable of them. version two.

Version one
Material: VCrS3
Method: DFT, GGA-PBE
State: relaxed

```
VCrS3
1.0
2.9211 1.6865 5.4158
-2.9211 1.6865 5.4158
0.0000 -3.3730 5.4158
V Cr S
2 2 6
Direct
0.1653 0.1653 0.1653
0.8347 0.8347 0.8347
0.3353 0.3353 0.3353
0.6647 0.6647 0.6647
0.0840 0.7449 0.4210
0.2551 0.5790 0.9160
0.4210 0.0840 0.7449
0.5790 0.9160 0.2551
0.7449 0.4210 0.0840
0.9160 0.2551 0.5790
```

Values from the calculation:
SG: No. 148
V: 160 Å³/cell

Version two
Material: VCrS3
Method: DFT, GGA-PBE
State: relaxed

```
VCrS3
1.0
4.5798 0.0000 0.0000
0.0000 4.5798 0.0000
0.0000 0.0000 4.5798
V Cr S
1 1 3
Direct
0.0000 0.0000 0.0000
0.5000 0.5000 0.5000
0.0000 0.0000 0.5000
0.0000 0.5000 0.0000
0.5000 0.0000 0.0000
```

Values from the calculation:
SG: No. 221
V: 96 Å³/cell

Name the most stable of them. version one.

Version one
Material: VCrS3
Method: DFT, GGA-PBE
State: relaxed

```
VCrS3
1.0
4.5228 0.0000 0.0000
0.0000 4.5228 0.0000
0.0000 0.0000 4.5228
V Cr S
1 1 3
Direct
0.0000 0.0000 0.0000
0.5000 0.5000 0.5000
0.0000 0.5000 0.5000
0.5000 0.0000 0.5000
0.5000 0.5000 0.0000
```

Values from the calculation:
SG: No. 221
V: 93 Å³/cell

Version two
Material: VCrS3
Method: DFT, GGA-PBE
State: relaxed

```
VCrS3
1.0
6.1592 0.0000 0.0000
0.0000 3.3411 0.0000
-2.1616 0.0000 8.0094
V Cr S
2 2 6
Direct
0.1202 0.2500 0.1397
0.8798 0.7500 0.8603
0.2683 0.2500 0.5118
0.7317 0.7500 0.4882
0.0293 0.7500 0.3378
0.2514 0.7500 0.9943
0.4933 0.7500 0.6697
0.5067 0.2500 0.3303
0.7486 0.2500 0.0057
0.9707 0.2500 0.6622
```

Values from the calculation:
SG: No. 11
V: 165 Å³/cell

Name the most stable of them. version two.

Version one
Material: CrW3S
Method: DFT, GGA-PBE
State: relaxed

```
CrW3S
1.0
4.5226 0.0000 0.0000
0.0000 4.5226 0.0000
0.0000 0.0000 4.5226
Cr W S
1 3 1
Direct
0.0000 0.0000 0.0000
0.0000 0.0000 0.5000
0.0000 0.5000 0.0000
0.5000 0.0000 0.0000
0.5000 0.5000 0.5000
```

Values from the calculation:
SG: No. 221
V: 93 Å³/cell

Version two
Material: CrW3S
Method: DFT, GGA-PBE
State: relaxed

```
CrW3S
1.0
4.3740 0.0000 0.0000
0.0000 4.3740 0.0000
0.0000 0.0000 4.3740
Cr W S
1 3 1
Direct
0.0000 0.0000 0.0000
0.0000 0.5000 0.5000
0.5000 0.0000 0.5000
0.5000 0.5000 0.0000
0.5000 0.5000 0.5000
```

Values from the calculation:
SG: No. 221
V: 84 Å³/cell

Name the most stable of them. version two.

Version one
Material: YCrS2
Method: DFT, GGA-PBE
State: relaxed

```
YCrS2
1.0
-2.8190 2.8190 6.3485
2.8190 -2.8190 6.3485
2.8190 2.8190 -6.3485
Y Cr S
2 2 4
Direct
0.0000 0.0000 0.0000
0.7500 0.2500 0.5000
0.2500 0.7500 0.5000
0.5000 0.5000 0.0000
0.1513 0.6250 0.0263
0.3750 0.4013 0.5263
0.5987 0.1250 0.9737
0.8750 0.8487 0.4737
```

Values from the calculation:
SG: No. 122
V: 202 Å³/cell

Version two
Material: YCrS2
Method: DFT, GGA-PBE
State: relaxed

```
YCrS2
1.0
2.0138 1.1627 7.5863
-2.0138 1.1627 7.5863
0.0000 -2.3253 7.5863
Y Cr S
1 1 2
Direct
0.0000 0.0000 0.0000
0.5000 0.5000 0.5000
0.3970 0.3970 0.3970
0.6030 0.6030 0.6030
```

Values from the calculation:
SG: No. 166
V: 107 Å³/cell

Version three
Material: YCrS2
Method: DFT, GGA-PBE
State: relaxed

```
YCrS2
1.0
0.0000 3.2015 3.2015
3.2015 0.0000 3.2015
3.2015 3.2015 0.0000
Y Cr S
1 1 2
Direct
0.0000 0.0000 0.0000
0.5000 0.5000 0.5000
0.2500 0.2500 0.2500
0.7500 0.7500 0.7500
```

Values from the calculation:
SG: No. 225
V: 66 Å³/cell

Name the most stable of them. version two.

Version one
Material: ZnCr3S
Method: DFT, GGA-PBE
State: relaxed

```
ZnCr3S
1.0
4.7128 0.0000 0.0000
0.0000 4.7128 0.0000
0.0000 0.0000 4.7128
Zn Cr S
1 3 1
Direct
0.0000 0.0000 0.0000
0.0000 0.0000 0.5000
0.0000 0.5000 0.0000
0.5000 0.0000 0.0000
0.5000 0.5000 0.5000
```

Values from the calculation:
SG: No. 221
V: 105 Å³/cell

Version two
Material: ZnCr3S
Method: DFT, GGA-PBE
State: relaxed

```
ZnCr3S
1.0
4.1424 0.0000 0.0000
0.0000 4.1424 0.0000
0.0000 0.0000 4.1424
Zn Cr S
1 3 1
Direct
0.0000 0.0000 0.0000
0.0000 0.5000 0.5000
0.5000 0.0000 0.5000
0.5000 0.5000 0.0000
0.5000 0.5000 0.5000
```

Values from the calculation:
SG: No. 221
V: 71 Å³/cell

Name the most stable of them. version two.

Version one
Material: Zn3CrS
Method: DFT, GGA-PBE
State: relaxed

```
Zn3CrS
1.0
4.8990 0.0000 0.0000
0.0000 4.8990 0.0000
0.0000 0.0000 4.8990
Zn Cr S
3 1 1
Direct
0.0000 0.0000 0.5000
0.0000 0.5000 0.0000
0.5000 0.0000 0.0000
0.0000 0.0000 0.0000
0.5000 0.5000 0.5000
```

Values from the calculation:
SG: No. 221
V: 118 Å³/cell

Version two
Material: Zn3CrS
Method: DFT, GGA-PBE
State: relaxed

```
Zn3CrS
1.0
4.7207 0.0000 0.0000
0.0000 4.7207 0.0000
0.0000 0.0000 4.7207
Zn Cr S
3 1 1
Direct
0.0000 0.0000 0.5000
0.0000 0.5000 0.0000
0.5000 0.0000 0.0000
0.5000 0.5000 0.5000
0.0000 0.0000 0.0000
```

Values from the calculation:
SG: No. 221
V: 105 Å³/cell

Name the most stable of them. version two.

Version one
Material: ZrCrS2
Method: DFT, GGA-PBE
State: relaxed

```
ZrCrS2
1.0
0.0000 3.1489 3.1489
3.1489 0.0000 3.1489
3.1489 3.1489 0.0000
Zr Cr S
1 1 2
Direct
0.0000 0.0000 0.0000
0.5000 0.5000 0.5000
0.2500 0.2500 0.2500
0.7500 0.7500 0.7500
```

Values from the calculation:
SG: No. 225
V: 62 Å³/cell

Version two
Material: ZrCrS2
Method: DFT, GGA-PBE
State: relaxed

```
ZrCrS2
1.0
1.7920 1.0346 7.8535
-1.7920 1.0346 7.8535
0.0000 -2.0693 7.8535
Zr Cr S
1 1 2
Direct
0.0000 0.0000 0.0000
0.5000 0.5000 0.5000
0.3997 0.3997 0.3997
0.6003 0.6003 0.6003
```

Values from the calculation:
SG: No. 166
V: 87 Å³/cell

Name the most stable of them. version two.

Version one
Material: ZrCrS2
Method: DFT, GGA-PBE
State: relaxed

```
ZrCrS2
1.0
1.5309 0.8839 8.2032
-1.5309 0.8839 8.2032
0.0000 -1.7678 8.2032
Zr Cr S
1 1 2
Direct
0.0000 0.0000 0.0000
0.5000 0.5000 0.5000
0.1058 0.1058 0.1058
0.8942 0.8942 0.8942
```

Values from the calculation:
SG: No. 166
V: 67 Å³/cell

Version two
Material: ZrCrS2
Method: DFT, GGA-PBE
State: relaxed

```
ZrCrS2
1.0
-2.8061 2.8061 5.5692
2.8061 -2.8061 5.5692
2.8061 2.8061 -5.5692
Zr Cr S
2 2 4
Direct
0.0000 0.0000 0.0000
0.7500 0.2500 0.5000
0.2500 0.7500 0.5000
0.5000 0.5000 0.0000
0.1456 0.6250 0.0206
0.3750 0.3956 0.5206
0.6044 0.1250 0.9794
0.8750 0.8544 0.4794
```

Values from the calculation:
SG: No. 122
V: 175 Å³/cell

Name the most stable of them. version two.

Version one
Material: ZrCr3S
Method: DFT, GGA-PBE
State: relaxed

```
ZrCr3S
1.0
4.5842 0.0000 0.0000
0.0000 4.5842 0.0000
0.0000 0.0000 4.5842
Zr Cr S
1 3 1
Direct
0.0000 0.0000 0.0000
0.0000 0.0000 0.5000
0.0000 0.5000 0.0000
0.5000 0.0000 0.0000
0.5000 0.5000 0.5000
```

Values from the calculation:
SG: No. 221
V: 96 Å³/cell

Version two
Material: ZrCr3S
Method: DFT, GGA-PBE
State: relaxed

```
ZrCr3S
1.0
4.2216 0.0000 0.0000
0.0000 4.2216 0.0000
0.0000 0.0000 4.2216
Zr Cr S
1 3 1
Direct
0.0000 0.0000 0.0000
0.0000 0.5000 0.5000
0.5000 0.0000 0.5000
0.5000 0.5000 0.0000
0.5000 0.5000 0.5000
```

Values from the calculation:
SG: No. 221
V: 75 Å³/cell

Name the most stable of them. version two.

Version one
Material: CrSb5
Method: DFT, GGA-PBE
State: relaxed

```
CrSb5
1.0
6.1337 0.0000 0.0000
-3.0668 5.3119 0.0000
0.0000 0.0000 5.5275
Cr Sb
1 5
Direct
0.0000 0.0000 0.0000
0.0000 0.5000 0.5000
0.3333 0.6667 0.0000
0.5000 0.0000 0.5000
0.5000 0.5000 0.5000
0.6667 0.3333 0.0000
```

Values from the calculation:
SG: No. 191
V: 180 Å³/cell

Version two
Material: CrSb5
Method: DFT, GGA-PBE
State: relaxed

```
CrSb5
1.0
7.0336 -1.6560 0.0000
7.0336 1.6560 0.0000
-4.5955 0.0000 7.2825
Cr Sb
1 5
Direct
0.0000 0.0000 0.0000
0.3237 0.3237 0.7879
0.4239 0.4239 0.1903
0.6397 0.6397 0.9563
0.6538 0.6538 0.3119
0.9482 0.9482 0.6353
```

Values from the calculation:
SG: No. 8
V: 170 Å³/cell

Version three
Material: CrSb5
Method: DFT, GGA-PBE
State: relaxed

```
CrSb5
1.0
3.2075 0.0000 0.0000
0.0000 3.2075 0.0000
0.0000 0.0000 14.9642
Cr Sb
1 5
Direct
0.0000 0.0000 0.0000
0.0000 0.0000 0.3237
0.0000 0.0000 0.6763
0.5000 0.5000 0.1215
0.5000 0.5000 0.5000
0.5000 0.5000 0.8785
```

Values from the calculation:
SG: No. 123
V: 154 Å³/cell

Name the most stable of them. version two.

Version one
Material: ScCrSb2
Method: DFT, GGA-PBE
State: relaxed

```
ScCrSb2
1.0
4.0115 0.0000 0.0000
0.0000 4.0115 0.0000
0.0000 0.0000 5.7896
Sc Cr Sb
1 1 2
Direct
0.0000 0.0000 0.0000
0.5000 0.5000 0.4026
0.0000 0.0000 0.4924
0.5000 0.5000 0.9067
```

Values from the calculation:
SG: No. 99
V: 93 Å³/cell

Version two
Material: ScCrSb2
Method: DFT, GGA-PBE
State: relaxed

```
ScCrSb2
1.0
3.9148 0.0000 0.0000
0.0000 4.2433 0.0000
0.0000 0.0000 5.2787
Sc Cr Sb
1 1 2
Direct
0.0000 0.0000 0.0000
0.0000 0.5000 0.5000
0.5000 0.0000 0.5000
0.5000 0.5000 0.0000
```

Values from the calculation:
SG: No. 47
V: 88 Å³/cell

Name the most stable of them. version one.